{
  "formula": "Ac2Cu2Rh",
  "functional": "PBE",
  "state": "optimized geometry",
  "spacegroup": "No. 12",
  "energy_ev_per_atom": -5.11,
  "lattice": [[5.6292, -2.1195, 0.0000], [5.6292, 2.1195, 0.0000], [-5.3806, 0.0000, 10.5133]],
  "species": ["Ac", "Ac", "Ac", "Ac", "Cu", "Cu", "Cu", "Cu", "Rh", "Rh"],
  "fractional_positions": [[0.0876, 0.0876, 0.3831], [0.2981, 0.2981, 0.8640], [0.7019, 0.7019, 0.1360], [0.9124, 0.9124, 0.6169], [0.0364, 0.0364, 0.9166], [0.3814, 0.3814, 0.3911], [0.6186, 0.6186, 0.6089], [0.9636, 0.9636, 0.0834], [0.4251, 0.4251, 0.1910], [0.5749, 0.5749, 0.8090]]
}

=====

{
  "formula": "Ac8CuRh5",
  "functional": "PBE",
  "state": "optimized geometry",
  "spacegroup": "No. 82",
  "energy_ev_per_atom": -5.82,
  "lattice": [[-4.7136, 4.7136, 4.6539], [4.7136, -4.7136, 4.6539], [4.7136, 4.7136, -4.6539]],
  "species": ["Ac", "Ac", "Ac", "Ac", "Ac", "Ac", "Ac", "Ac", "Cu", "Rh", "Rh", "Rh", "Rh", "Rh"],
  "fractional_positions": [[0.2630, 0.5102, 0.1293], [0.3751, 0.1282, 0.3574], [0.3809, 0.1338, 0.8707], [0.4898, 0.6191, 0.7529], [0.7708, 0.0177, 0.6426], [0.8662, 0.7370, 0.2471], [0.8718, 0.2292, 0.2469], [0.9823, 0.6249, 0.7531], [0.2500, 0.7500, 0.5000], [0.0000, 0.0000, 0.0000], [0.1285, 0.2415, 0.6184], [0.4900, 0.8715, 0.1131], [0.6231, 0.5100, 0.3816], [0.7585, 0.3769, 0.8869]]
}

=====

{
  "formula": "AcCu3Rh",
  "functional": "PBE",
  "state": "optimized geometry",
  "spacegroup": "No. 107",
  "energy_ev_per_atom": -4.95,
  "lattice": [[-2.0619, 2.0619, 5.4481], [2.0619, -2.0619, 5.4481], [2.0619, 2.0619, -5.4481]],
  "species": ["Ac", "Cu", "Cu", "Cu", "Rh"],
  "fractional_positions": [[0.0000, 0.0000, 0.0000], [0.2384, 0.7384, 0.5000], [0.3611, 0.3611, 0.0000], [0.7384, 0.2384, 0.5000], [0.5923, 0.5923, 0.0000]]
}

=====

{
  "formula": "Ac2Cu3Rh",
  "functional": "PBE",
  "state": "optimized geometry",
  "spacegroup": "No. 25",
  "energy_ev_per_atom": -4.97,
  "lattice": [[4.1629, 0.0000, 0.0000], [0.0000, 4.3334, 0.0000], [0.0000, 0.0000, 7.6267]],
  "species": ["Ac", "Ac", "Cu", "Cu", "Cu", "Rh"],
  "fractional_positions": [[0.0000, 0.0000, 0.0000], [0.0000, 0.5000, 0.4737], [0.5000, 0.0000, 0.6590], [0.5000, 0.5000, 0.1453], [0.5000, 0.5000, 0.8200], [0.5000, 0.0000, 0.3248]]
}

=====

{
  "formula": "AcCu2Rh3S8",
  "functional": "PBE",
  "state": "optimized geometry",
  "spacegroup": "No. 160",
  "energy_ev_per_atom": -5.32,
  "e_form_raw_ev_per_atom": -0.506,
  "lattice": [[3.6483, 2.1064, 6.3006], [-3.6483, 2.1064, 6.3006], [0.0000, -4.2127, 6.3006]],
  "species": ["Ac", "Cu", "Cu", "Rh", "Rh", "Rh", "S", "S", "S", "S", "S", "S", "S", "S"],
  "fractional_positions": [[0.0000, 0.0000, 0.0000], [0.3698, 0.3698, 0.3698], [0.7868, 0.7868, 0.7868], [0.3704, 0.3704, 0.8636], [0.3704, 0.8636, 0.3704], [0.8636, 0.3704, 0.3704], [0.1365, 0.1365, 0.5467], [0.1365, 0.5467, 0.1365], [0.1455, 0.1455, 0.1455], [0.1617, 0.6121, 0.6121], [0.5467, 0.1365, 0.1365], [0.5982, 0.5982, 0.5982], [0.6121, 0.1617, 0.6121], [0.6121, 0.6121, 0.1617]]
}

=====

{
  "formula": "Ac2Cu2RhS6",
  "functional": "PBE",
  "state": "optimized geometry",
  "spacegroup": "No. 166",
  "energy_ev_per_atom": -5.39,
  "e_form_raw_ev_per_atom": -0.979,
  "lattice": [[3.3873, 1.9557, 6.0351], [-3.3873, 1.9557, 6.0351], [0.0000, -3.9114, 6.0351]],
  "species": ["Ac", "Ac", "Cu", "Cu", "Rh", "S", "S", "S", "S", "S", "S"],
  "fractional_positions": [[0.2246, 0.2246, 0.2246], [0.7754, 0.7754, 0.7754], [0.4105, 0.4105, 0.4105], [0.5895, 0.5895, 0.5895], [0.0000, 0.0000, 0.0000], [0.2109, 0.7620, 0.7620], [0.2380, 0.2380, 0.7891], [0.2380, 0.7891, 0.2380], [0.7620, 0.2109, 0.7620], [0.7620, 0.7620, 0.2109], [0.7891, 0.2380, 0.2380]]
}

=====

{
  "formula": "Ac2Cu3Sb4Rh",
  "functional": "PBE",
  "state": "optimized geometry",
  "spacegroup": "No. 115",
  "energy_ev_per_atom": -5.01,
  "e_form_raw_ev_per_atom": -0.579,
  "lattice": [[4.7115, 0.0000, 0.0000], [0.0000, 4.7115, 0.0000], [0.0000, 0.0000, 10.4280]],
  "species": ["Ac", "Ac", "Cu", "Cu", "Cu", "Sb", "Sb", "Sb", "Sb", "Rh"],
  "fractional_positions": [[0.0000, 0.5000, 0.2356], [0.5000, 0.0000, 0.7644], [0.0000, 0.0000, 0.0000], [0.0000, 0.5000, 0.6278], [0.5000, 0.0000, 0.3722], [0.0000, 0.0000, 0.5000], [0.0000, 0.5000, 0.8759], [0.5000, 0.0000, 0.1241], [0.5000, 0.5000, 0.5000], [0.5000, 0.5000, 0.0000]]
}

=====

{
  "formula": "AcCuSn2Rh2",
  "functional": "PBE",
  "state": "optimized geometry",
  "spacegroup": "No. 123",
  "energy_ev_per_atom": -5.49,
  "lattice": [[4.7775, 0.0000, 0.0000], [0.0000, 4.7775, 0.0000], [0.0000, 0.0000, 5.8815]],
  "species": ["Ac", "Cu", "Sn", "Sn", "Rh", "Rh"],
  "fractional_positions": [[0.0000, 0.0000, 0.0000], [0.0000, 0.0000, 0.5000], [0.5000, 0.5000, 0.2493], [0.5000, 0.5000, 0.7507], [0.0000, 0.5000, 0.5000], [0.5000, 0.0000, 0.5000]]
}

=====

{
  "formula": "Ac2CuSn4Rh3",
  "functional": "PBE",
  "state": "optimized geometry",
  "spacegroup": "No. 115",
  "energy_ev_per_atom": -5.70,
  "lattice": [[4.6855, 0.0000, 0.0000], [0.0000, 4.6855, 0.0000], [0.0000, 0.0000, 10.5637]],
  "species": ["Ac", "Ac", "Cu", "Sn", "Sn", "Sn", "Sn", "Rh", "Rh", "Rh"],
  "fractional_positions": [[0.0000, 0.5000, 0.2438], [0.5000, 0.0000, 0.7562], [0.5000, 0.5000, 0.0000], [0.0000, 0.0000, 0.5000], [0.0000, 0.5000, 0.8781], [0.5000, 0.0000, 0.1219], [0.5000, 0.5000, 0.5000], [0.0000, 0.0000, 0.0000], [0.0000, 0.5000, 0.6282], [0.5000, 0.0000, 0.3718]]
}

=====

{
  "formula": "AcTbCuRh",
  "functional": "PBE",
  "state": "optimized geometry",
  "spacegroup": "No. 216",
  "energy_ev_per_atom": -5.42,
  "lattice": [[0.0000, 3.6188, 3.6188], [3.6188, 0.0000, 3.6188], [3.6188, 3.6188, 0.0000]],
  "species": ["Ac", "Tb", "Cu", "Rh"],
  "fractional_positions": [[0.0000, 0.0000, 0.0000], [0.5000, 0.5000, 0.5000], [0.2500, 0.2500, 0.2500], [0.7500, 0.7500, 0.7500]]
}

=====

{
  "formula": "AcThCuRh",
  "functional": "PBE",
  "state": "optimized geometry",
  "spacegroup": "No. 216",
  "energy_ev_per_atom": -6.05,
  "lattice": [[0.0000, 3.6617, 3.6617], [3.6617, 0.0000, 3.6617], [3.6617, 3.6617, 0.0000]],
  "species": ["Ac", "Th", "Cu", "Rh"],
  "fractional_positions": [[0.0000, 0.0000, 0.0000], [0.5000, 0.5000, 0.5000], [0.2500, 0.2500, 0.2500], [0.7500, 0.7500, 0.7500]]
}

=====

{
  "formula": "AcTlCuRh",
  "functional": "PBE",
  "state": "optimized geometry",
  "spacegroup": "No. 216",
  "energy_ev_per_atom": -4.61,
  "lattice": [[0.0000, 3.5644, 3.5644], [3.5644, 0.0000, 3.5644], [3.5644, 3.5644, 0.0000]],
  "species": ["Ac", "Tl", "Cu", "Rh"],
  "fractional_positions": [[0.0000, 0.0000, 0.0000], [0.5000, 0.5000, 0.5000], [0.7500, 0.7500, 0.7500], [0.2500, 0.2500, 0.2500]]
}

=====

{
  "formula": "Ac2UCuRh4",
  "functional": "PBE",
  "state": "optimized geometry",
  "spacegroup": "No. 70",
  "energy_ev_per_atom": -7.06,
  "lattice": [[0.0000, 6.8545, 9.1662], [2.8672, 0.0000, 9.1662], [2.8672, 6.8545, 0.0000]],
  "species": ["Ac", "Ac", "Ac", "Ac", "U", "U", "Cu", "Cu", "Rh", "Rh", "Rh", "Rh", "Rh", "Rh", "Rh", "Rh"],
  "fractional_positions": [[0.0450, 0.0450, 0.7050], [0.2950, 0.2950, 0.9550], [0.7050, 0.7050, 0.0450], [0.9550, 0.9550, 0.2950], [0.3750, 0.3750, 0.3750], [0.6250, 0.6250, 0.6250], [0.1250, 0.1250, 0.1250], [0.8750, 0.8750, 0.8750], [0.0661, 0.3040, 0.4492], [0.3040, 0.0661, 0.6807], [0.3193, 0.5508, 0.6960], [0.4492, 0.6807, 0.0661], [0.5508, 0.3193, 0.9339], [0.6807, 0.4492, 0.3040], [0.6960, 0.9339, 0.3193], [0.9339, 0.6960, 0.5508]]
}

=====

{
  "formula": "AcZnCu2Rh",
  "functional": "PBE",
  "state": "optimized geometry",
  "spacegroup": "No. 44",
  "energy_ev_per_atom": -4.49,
  "lattice": [[-2.0512, 2.0786, 5.5938], [2.0512, -2.0786, 5.5938], [2.0512, 2.0786, -5.5938]],
  "species": ["Ac", "Zn", "Cu", "Cu", "Rh"],
  "fractional_positions": [[0.0000, 0.0000, 0.0000], [0.2585, 0.7585, 0.5000], [0.6321, 0.6321, 0.0000], [0.7590, 0.2590, 0.5000], [0.4028, 0.4028, 0.0000]]
}

=====

{
  "formula": "Ac2ZnCu6Rh",
  "functional": "PBE",
  "state": "optimized geometry",
  "spacegroup": "No. 2",
  "energy_ev_per_atom": -4.28,
  "lattice": [[6.3541, 0.0000, 0.0000], [2.9879, 5.6125, 0.0000], [3.0082, 1.8277, 5.3370]],
  "species": ["Ac", "Ac", "Zn", "Cu", "Cu", "Cu", "Cu", "Cu", "Cu", "Rh"],
  "fractional_positions": [[0.1861, 0.1848, 0.1851], [0.8139, 0.8152, 0.8149], [0.5000, 0.5000, 0.5000], [0.1658, 0.3265, 0.6088], [0.3270, 0.6098, 0.1660], [0.3893, 0.8331, 0.6742], [0.6107, 0.1669, 0.3258], [0.6730, 0.3902, 0.8340], [0.8342, 0.6735, 0.3912], [0.0000, 0.0000, 0.0000]]
}

=====

{
  "formula": "AcZrCuRh",
  "functional": "PBE",
  "state": "optimized geometry",
  "spacegroup": "No. 216",
  "energy_ev_per_atom": -6.17,
  "lattice": [[0.0000, 3.5287, 3.5287], [3.5287, 0.0000, 3.5287], [3.5287, 3.5287, 0.0000]],
  "species": ["Ac", "Zr", "Cu", "Rh"],
  "fractional_positions": [[0.0000, 0.0000, 0.0000], [0.5000, 0.5000, 0.5000], [0.7500, 0.7500, 0.7500], [0.2500, 0.2500, 0.2500]]
}

=====

{
  "formula": "Ac3CuRu",
  "functional": "PBE",
  "state": "optimized geometry",
  "spacegroup": "No. 26",
  "de_polymorph_ev_per_fu": 0.32,
  "energy_ev_per_atom": -5.19,
  "lattice": [[5.5364, 0.0000, 0.0000], [0.0000, 8.6855, 0.0000], [0.0000, 0.0000, 6.8532]],
  "species": ["Ac", "Ac", "Ac", "Ac", "Ac", "Ac", "Cu", "Cu", "Ru", "Ru"],
  "fractional_positions": [[0.0000, 0.0000, 0.0000], [0.0000, 0.0000, 0.5000], [0.0000, 0.3798, 0.2500], [0.0000, 0.6202, 0.7500], [0.5000, 0.2618, 0.7502], [0.5000, 0.7382, 0.2502], [0.5000, 0.1308, 0.2495], [0.5000, 0.8692, 0.7495], [0.0000, 0.2883, 0.7500], [0.0000, 0.7117, 0.2500]]
}

=====

{
  "formula": "Ac3CuRu",
  "functional": "PBE",
  "state": "optimized geometry",
  "spacegroup": "No. 221",
  "de_polymorph_ev_per_fu": 1.13,
  "energy_ev_per_atom": -5.03,
  "lattice": [[5.6849, 0.0000, 0.0000], [0.0000, 5.6849, 0.0000], [0.0000, 0.0000, 5.6849]],
  "species": ["Ac", "Ac", "Ac", "Cu", "Ru"],
  "fractional_positions": [[0.0000, 0.0000, 0.5000], [0.0000, 0.5000, 0.0000], [0.5000, 0.0000, 0.0000], [0.5000, 0.5000, 0.5000], [0.0000, 0.0000, 0.0000]]
}

=====

{
  "formula": "Ac6CuRu2",
  "functional": "PBE",
  "state": "optimized geometry",
  "spacegroup": "No. 12",
  "de_polymorph_ev_per_fu": 0.00,
  "energy_ev_per_atom": -5.39,
  "lattice": [[9.2024, -2.1722, 0.0000], [9.2024, 2.1722, 0.0000], [-1.3303, 0.0000, 8.3373]],
  "species": ["Ac", "Ac", "Ac", "Ac", "Ac", "Ac", "Cu", "Ru", "Ru"],
  "fractional_positions": [[0.0081, 0.0081, 0.2602], [0.3302, 0.3302, 0.4275], [0.3321, 0.3321, 0.9025], [0.6679, 0.6679, 0.0975], [0.6698, 0.6698, 0.5725], [0.9919, 0.9919, 0.7398], [0.5000, 0.5000, 0.0000], [0.1625, 0.1625, 0.3260], [0.8375, 0.8375, 0.6740]]
}

=====

{
  "formula": "AcCuRu",
  "functional": "PBE",
  "state": "optimized geometry",
  "spacegroup": "No. 187",
  "de_polymorph_ev_per_fu": 0.31,
  "energy_ev_per_atom": -5.83,
  "lattice": [[4.2845, 0.0000, 0.0000], [-2.1422, 3.7105, 0.0000], [0.0000, 0.0000, 4.2835]],
  "species": ["Ac", "Cu", "Ru"],
  "fractional_positions": [[0.0000, 0.0000, 0.0000], [0.6667, 0.3333, 0.5000], [0.3333, 0.6667, 0.5000]]
}

=====

{
  "formula": "AcCuRu",
  "functional": "PBE",
  "state": "optimized geometry",
  "spacegroup": "No. 107",
  "de_polymorph_ev_per_fu": 0.88,
  "energy_ev_per_atom": -5.64,
  "lattice": [[-1.7865, 1.7865, 4.9746], [1.7865, -1.7865, 4.9746], [1.7865, 1.7865, -4.9746]],
  "species": ["Ac", "Cu", "Ru"],
  "fractional_positions": [[0.0000, 0.0000, 0.0000], [0.2880, 0.2880, 0.0000], [0.7083, 0.7083, 0.0000]]
}

=====

{
  "formula": "Ac4CuRu2",
  "functional": "PBE",
  "state": "optimized geometry",
  "spacegroup": "No. 1",
  "energy_ev_per_atom": -5.69,
  "lattice": [[7.9042, 0.0000, 0.0000], [-3.0130, 7.3084, 0.0000], [-2.4488, -3.6456, 7.7218]],
  "species": ["Ac", "Ac", "Ac", "Ac", "Ac", "Ac", "Ac", "Ac", "Cu", "Cu", "Ru", "Ru", "Ru", "Ru"],
  "fractional_positions": [[0.0000, 0.0000, 0.0000], [0.0054, 0.0136, 0.5241], [0.4110, 0.9329, 0.8411], [0.4238, 0.9386, 0.3610], [0.5083, 0.4949, 0.0077], [0.5156, 0.5098, 0.5232], [0.9088, 0.4373, 0.3528], [0.9141, 0.4194, 0.8380], [0.2284, 0.4550, 0.1841], [0.6971, 0.9807, 0.1785], [0.4634, 0.2264, 0.1810], [0.4755, 0.2162, 0.6872], [0.7203, 0.9775, 0.6812], [0.9534, 0.7254, 0.6745]]
}

=====

{
  "formula": "Ac3CuRu",
  "functional": "PBE",
  "state": "optimized geometry",
  "spacegroup": "No. 12",
  "de_polymorph_ev_per_fu": 0.00,
  "energy_ev_per_atom": -5.26,
  "lattice": [[7.4931, -2.2590, 0.0000], [7.4931, 2.2590, 0.0000], [-2.3901, 0.0000, 9.8911]],
  "species": ["Ac", "Ac", "Ac", "Ac", "Ac", "Ac", "Cu", "Cu", "Ru", "Ru"],
  "fractional_positions": [[0.0306, 0.0306, 0.2946], [0.3269, 0.3269, 0.3836], [0.3579, 0.3579, 0.0067], [0.6421, 0.6421, 0.9933], [0.6731, 0.6731, 0.6164], [0.9694, 0.9694, 0.7054], [0.3194, 0.3194, 0.6962], [0.6806, 0.6806, 0.3038], [0.1686, 0.1686, 0.8012], [0.8314, 0.8314, 0.1988]]
}

=====

{
  "formula": "AcCuRu",
  "functional": "PBE",
  "state": "optimized geometry",
  "spacegroup": "No. 12",
  "de_polymorph_ev_per_fu": 0.00,
  "energy_ev_per_atom": -5.93,
  "lattice": [[7.6723, -2.2428, 0.0000], [7.6723, 2.2428, 0.0000], [-1.2126, 0.0000, 4.1421]],
  "species": ["Ac", "Ac", "Cu", "Cu", "Ru", "Ru"],
  "fractional_positions": [[0.1200, 0.1200, 0.3700], [0.8800, 0.8800, 0.6300], [0.2915, 0.2915, 0.0426], [0.7085, 0.7085, 0.9574], [0.4652, 0.4652, 0.2151], [0.5349, 0.5349, 0.7849]]
}